1.
Density functional theory data (PBE) for an optimized crystal structure of BaCa3Pd.

Cell: 11.2152 11.2152 6.4910 Å, 90.00 90.00 146.25°
Atoms (fractional coordinates):
Ca1 0.6181 0.8519 0.2500
Ca2 0.1481 0.3819 0.2500
Ca3 0.8519 0.6181 0.7500
Ca4 0.3819 0.1481 0.7500
Ca5 0.0000 0.0000 0.0000
Ca6 0.0000 0.0000 0.5000
Ba1 0.2008 0.7992 0.2500
Ba2 0.7992 0.2008 0.7500
Pd1 0.4961 0.5039 0.2500
Pd2 0.5039 0.4961 0.7500

Output
The calculation puts the distance to the lowest polymorph of the same formula at 599 meV per atom. As for the final energy: -23.37 eV for the cell shown.



2.
Density functional theory data (PBE) for an optimized crystal structure of VCd2FeIr.

Cell: 4.8349 3.9728 4.8349 Å, 90.00 90.00 90.00°
Atoms (fractional coordinates):
V1 0.0000 0.5000 0.0000
Ir1 0.5000 0.5000 0.5000
Fe1 0.0000 0.0000 0.0000
Cd1 0.0000 0.0000 0.5000
Cd2 0.5000 0.0000 0.0000

Output
As for the final energy: -22.81 eV for the cell shown.



3.
Density functional theory data (PBE) for an optimized crystal structure of La4Al.

Cell: 8.1607 8.1607 8.1607 Å, 60.00 60.00 60.00°
Atoms (fractional coordinates):
La1 0.8555 0.8555 0.8555
La2 0.8555 0.4334 0.8555
La3 0.8555 0.8555 0.4334
La4 0.3945 0.8166 0.3945
La5 0.3945 0.3945 0.3945
La6 0.4334 0.8555 0.8555
La7 0.3945 0.3945 0.8166
La8 0.8166 0.3945 0.3945
Al1 0.2500 0.2500 0.2500
Al2 0.0000 0.0000 0.0000

Output
The calculation puts the distance to the lowest polymorph of the same formula at 520 meV per atom. As for the final energy: -42.88 eV for the cell shown.